Density functional theory data (GGA+U) for a relaxed structure of La2CoBiO6.

abc: 5.6961 5.9559 8.2267
angles: 90.00 88.83 90.00
Last column: nearest neighbours and their distance in Å.
Positions (direct):
O 0.8872 0.5456 0.2749  1 Co 1.99
O 0.7812 0.8197 0.9450  1 Co 1.97
O 0.7188 0.3197 0.5550  1 Co 1.97
O 0.1128 0.4544 0.7251  1 Co 1.99
O 0.3872 0.9544 0.7749  1 Co 1.99
O 0.6128 0.0456 0.2251  1 Co 1.99
O 0.1734 0.2220 0.4350  1 Co 2.00
O 0.6734 0.2780 0.9350  1 Co 2.00
O 0.3266 0.7220 0.0649  1 Co 2.00
O 0.2188 0.1803 0.0550  1 Co 1.97
O 0.2812 0.6803 0.4450  1 Co 1.97
O 0.8266 0.7780 0.5649  1 Co 2.00
Bi 0.0000 0.5000 0.0000  6 O 2.33-2.35
Bi 0.5000 0.0000 0.5000  6 O 2.33-2.35
La 0.4812 0.4439 0.2502  5 O 2.40-2.65
La 0.5188 0.5561 0.7498  5 O 2.40-2.65
La 0.9812 0.0561 0.7502  5 O 2.40-2.65
La 0.0188 0.9439 0.2498  5 O 2.40-2.65
Co 0.5000 0.0000 0.0000  6 O 1.97-2.00
Co 0.0000 0.5000 0.5000  6 O 1.97-2.00

Results
Energy: -7.04 eV per atom
Space group: P2_1/c
Size of the total moment: 0.0 μB per cell